# 1
SrZrOF2 | SCAN | single point on PBEsol structure

The structure belongs to space group P4/mmm (No. 123); the cell edges are 4.3885, 4.3885 and 4.8056 Å and the angles 90.00°, 90.00° and 90.00°. The distinct sites, in fractional coordinates, are Sr at (0.0000, 0.0000, 0.0000), Zr at (0.5000, 0.5000, 0.5000), O at (0.0000, 0.0000, 0.5000) and F at (0.0000, 0.5000, 0.0000).

As for the total energy: -15.209 eV per atom. As for the relative energy among the computed polymorphs: 4.507 eV/f.u. For the energy relative to the elements, uncorrected, the calculation gives -1.95 eV/atom.


# 2
Hf2Be2Ga | SCAN | single point on PBEsol structure

The structure belongs to space group P4/mbm (No. 127); the cell edges are 6.1365, 6.1365 and 3.8627 Å and the angles 90.00°, 90.00° and 90.00°. The distinct sites, in fractional coordinates, are Hf at (0.1691, 0.3309, 0.0000), Be at (0.1239, 0.6239, 0.5000) and Ga at (0.0000, 0.0000, 0.5000).

The calculated formation energy is -1.99 eV/f.u. As for the total energy: -30.479 eV per atom.


The calculation returns the following Fermi-level density of states values, one per record and in order: 1.0, 1.6 states/eV/f.u..